The following is a PBE calculation of a geometry-optimized YSiCl structure, from Alexandria. Values from VASP.

Values from the calculation:
* E_form (uncorrected): -659 meV per atom
* spin magnetization: 0.00 μB per formula unit
* space-group type: P3m1 (156)

```
&SYSTEM
  ibrav = 0, nat = 3, ntyp = 3
/
ATOMIC_SPECIES
Y 88.91 Y.upf
Si 28.09 Si.upf
Cl 35.45 Cl.upf
CELL_PARAMETERS angstrom
3.6178 0.0000 0.0000
-1.8089 3.1331 0.0000
0.0000 0.0000 7.6138
ATOMIC_POSITIONS crystal
Y 0.3333 0.6667 0.6788
Si 0.6667 0.3333 0.4086
Cl 0.0000 0.0000 0.9126
```

The following is a PBE calculation of a geometry-optimized YSiCl6 structure, from Alexandria. Values from VASP.

Values from the calculation:
* E_form (uncorrected): -1418 meV per atom
* spin magnetization: 0.00 μB per formula unit
* space-group type: C2/m (12)

```
&SYSTEM
  ibrav = 0, nat = 8, ntyp = 3
/
ATOMIC_SPECIES
Cl 35.45 Cl.upf
Y 88.91 Y.upf
Si 28.09 Si.upf
CELL_PARAMETERS angstrom
-5.6506 -3.8702 -1.7494
4.6955 -1.3854 5.0991
-3.0806 4.6115 2.9808
ATOMIC_POSITIONS crystal
Cl 0.7386 0.7386 0.2639
Cl 0.8551 0.5919 0.7254
Cl 0.4081 0.1449 0.2746
Cl 0.5919 0.8551 0.7254
Cl 0.2614 0.2614 0.7361
Cl 0.1449 0.4081 0.2746
Y 0.0000 0.0000 0.0000
Si 0.5000 0.5000 0.5000
```

The following is a PBE calculation of a geometry-optimized Y2ZnSiCl structure, from Alexandria. Values from VASP.

Values from the calculation:
* E_form (uncorrected): 67 meV per atom
* spin magnetization: 0.00 μB per formula unit
* space-group type: P4/mmm (123)

```
&SYSTEM
  ibrav = 0, nat = 5, ntyp = 4
/
ATOMIC_SPECIES
Y 88.91 Y.upf
Zn 65.41 Zn.upf
Si 28.09 Si.upf
Cl 35.45 Cl.upf
CELL_PARAMETERS angstrom
5.5390 0.0000 0.0000
0.0000 4.8099 0.0000
0.0000 0.0000 5.5390
ATOMIC_POSITIONS crystal
Y 0.0000 0.0000 0.5000
Y 0.5000 0.0000 0.0000
Zn 0.5000 0.5000 0.5000
Si 0.0000 0.0000 0.0000
Cl 0.0000 0.5000 0.0000
```

The following is a PBE calculation of a geometry-optimized Zn2SiCl structure, from Alexandria. Values from VASP.

Values from the calculation:
* E_form (uncorrected): -61 meV per atom
* spin magnetization: 0.00 μB per formula unit
* space-group type: P4mm (99)

```
&SYSTEM
  ibrav = 0, nat = 4, ntyp = 3
/
ATOMIC_SPECIES
Zn 65.41 Zn.upf
Cl 35.45 Cl.upf
Si 28.09 Si.upf
CELL_PARAMETERS angstrom
-2.2150 -2.7216 -0.2183
1.3639 -1.3465 2.9475
-4.5467 3.4068 3.6602
ATOMIC_POSITIONS crystal
Zn 0.5000 0.5000 0.2756
Zn 0.0000 0.0000 0.8522
Cl 0.0000 0.0000 0.4486
Si 0.5000 0.5000 0.9236
```

The following is a PBE calculation of a geometry-optimized Zn2SiCl structure, from Alexandria. Values from VASP.

Values from the calculation:
* E_form (uncorrected): 218 meV per atom
* spin magnetization: 0.00 μB per formula unit
* space-group type: C2/m (12)

```
&SYSTEM
  ibrav = 0, nat = 4, ntyp = 3
/
ATOMIC_SPECIES
Si 28.09 Si.upf
Zn 65.41 Zn.upf
Cl 35.45 Cl.upf
CELL_PARAMETERS angstrom
6.4038 -0.0214 0.0968
5.7437 2.8318 0.0968
1.5296 0.3539 4.1729
ATOMIC_POSITIONS crystal
Si 0.7500 0.7500 0.7500
Zn 0.0485 0.0485 0.9474
Zn 0.4515 0.4515 0.5526
Cl 0.2500 0.2500 0.2500
```

The following is a PBE calculation of a geometry-optimized Zn2SiCl structure, from Alexandria. Values from VASP.

Values from the calculation:
* E_form (uncorrected): -30 meV per atom
* spin magnetization: 0.00 μB per formula unit
* space-group type: I-42d (122)

```
&SYSTEM
  ibrav = 0, nat = 8, ntyp = 3
/
ATOMIC_SPECIES
Zn 65.41 Zn.upf
Si 28.09 Si.upf
Cl 35.45 Cl.upf
CELL_PARAMETERS angstrom
5.8550 0.0000 0.0000
0.0000 5.8550 0.0000
2.9275 2.9275 5.6486
ATOMIC_POSITIONS crystal
Zn 0.5922 0.1250 0.2500
Zn 0.3750 0.4078 0.7500
Zn 0.1578 0.6250 0.2500
Zn 0.8750 0.8422 0.7500
Si 0.2500 0.7500 0.5000
Si 0.5000 0.5000 0.0000
Cl 0.7500 0.2500 0.5000
Cl 0.0000 0.0000 0.0000
```

The following is a PBE calculation of a geometry-optimized Zn2SiCl structure, from Alexandria. Values from VASP.

Values from the calculation:
* E_form (uncorrected): 102 meV per atom
* spin magnetization: 0.00 μB per formula unit
* space-group type: P4/mmm (123)

```
&SYSTEM
  ibrav = 0, nat = 4, ntyp = 3
/
ATOMIC_SPECIES
Cl 35.45 Cl.upf
Si 28.09 Si.upf
Zn 65.41 Zn.upf
CELL_PARAMETERS angstrom
-0.0319 0.1950 3.1390
2.2479 -2.1967 0.1593
4.9635 5.0600 -0.2638
ATOMIC_POSITIONS crystal
Cl 0.5000 0.5000 0.2500
Si 0.5000 0.5000 0.7500
Zn 0.0000 0.0000 0.9714
Zn 0.0000 0.0000 0.5286
```

The following is a PBE calculation of a geometry-optimized ZnSi2Cl8 structure, from Alexandria. Values from VASP.

Values from the calculation:
* E_form (uncorrected): -1074 meV per atom
* spin magnetization: 0.00 μB per formula unit
* space-group type: C2/m (12)

```
&SYSTEM
  ibrav = 0, nat = 11, ntyp = 3
/
ATOMIC_SPECIES
Si 28.09 Si.upf
Cl 35.45 Cl.upf
Zn 65.41 Zn.upf
CELL_PARAMETERS angstrom
9.8514 0.2212 0.1679
1.3776 6.4281 -1.4250
1.3776 0.3585 6.5744
ATOMIC_POSITIONS crystal
Si 0.3907 0.1065 0.1065
Si 0.6093 0.8935 0.8935
Cl 0.1190 0.7583 0.7583
Cl 0.7249 0.7395 0.0729
Cl 0.4308 0.3159 0.3159
Cl 0.7249 0.0729 0.7395
Cl 0.2751 0.2605 0.9271
Cl 0.5692 0.6841 0.6841
Cl 0.8810 0.2417 0.2417
Cl 0.2751 0.9271 0.2605
Zn 0.0000 0.0000 0.0000
```

The following is a PBE calculation of a geometry-optimized ZnSiCl structure, from Alexandria. Values from VASP.

Values from the calculation:
* E_form (uncorrected): 124 meV per atom
* spin magnetization: 0.00 μB per formula unit
* space-group type: Fmm2 (42)

```
&SYSTEM
  ibrav = 0, nat = 3, ntyp = 3
/
ATOMIC_SPECIES
Si 28.09 Si.upf
Zn 65.41 Zn.upf
Cl 35.45 Cl.upf
CELL_PARAMETERS angstrom
-5.1841 1.7802 -5.9122
-4.8964 -1.3797 -5.8565
-2.5426 1.3183 1.3669
ATOMIC_POSITIONS crystal
Si 0.2940 0.2940 0.7060
Zn 0.6585 0.6585 0.3415
Cl 0.0476 0.0476 0.9524
```

The following is a PBE calculation of a geometry-optimized Zn4SiCl structure, from Alexandria. Values from VASP.

Values from the calculation:
* E_form (uncorrected): 225 meV per atom
* spin magnetization: 0.00 μB per formula unit
* space-group type: F-43m (216)

```
&SYSTEM
  ibrav = 0, nat = 6, ntyp = 3
/
ATOMIC_SPECIES
Zn 65.41 Zn.upf
Cl 35.45 Cl.upf
Si 28.09 Si.upf
CELL_PARAMETERS angstrom
0.0000 3.7358 3.7358
3.7358 0.0000 3.7358
3.7358 3.7358 0.0000
ATOMIC_POSITIONS crystal
Zn 0.3741 0.3741 0.8777
Zn 0.8777 0.3741 0.3741
Zn 0.3741 0.3741 0.3741
Zn 0.3741 0.8777 0.3741
Cl 0.7500 0.7500 0.7500
Si 0.0000 0.0000 0.0000
```

The following is a PBE calculation of a geometry-optimized ZnSiCl structure, from Alexandria. Values from VASP.

Values from the calculation:
* E_form (uncorrected): 579 meV per atom
* spin magnetization: 0.87 μB per formula unit
* space-group type: F-43m (216)

```
&SYSTEM
  ibrav = 0, nat = 3, ntyp = 3
/
ATOMIC_SPECIES
Zn 65.41 Zn.upf
Cl 35.45 Cl.upf
Si 28.09 Si.upf
CELL_PARAMETERS angstrom
-3.8351 -2.2897 -1.0076
-0.7553 -4.1237 1.8413
-3.2538 -0.5270 3.1782
ATOMIC_POSITIONS crystal
Zn 0.7500 0.7500 0.7500
Cl 0.0000 0.0000 0.0000
Si 0.5000 0.5000 0.5000
```

The following is a PBE calculation of a geometry-optimized Zn2SiCl structure, from Alexandria. Values from VASP.

Values from the calculation:
* E_form (uncorrected): 195 meV per atom
* spin magnetization: 0.00 μB per formula unit
* space-group type: Imm2 (44)

```
&SYSTEM
  ibrav = 0, nat = 4, ntyp = 3
/
ATOMIC_SPECIES
Zn 65.41 Zn.upf
Si 28.09 Si.upf
Cl 35.45 Cl.upf
CELL_PARAMETERS angstrom
-3.6548 -3.1518 2.8629
1.3068 -0.9803 5.3684
-1.3560 3.6462 -4.0441
ATOMIC_POSITIONS crystal
Zn 0.2401 0.7401 0.5000
Zn 0.0140 0.0140 0.0000
Si 0.7822 0.2822 0.5000
Cl 0.4637 0.4637 0.0000
```

The following is a PBE calculation of a geometry-optimized Zn2SiCl structure, from Alexandria. Values from VASP.

Values from the calculation:
* E_form (uncorrected): 311 meV per atom
* spin magnetization: 0.00 μB per formula unit
* space-group type: I-4m2 (119)

```
&SYSTEM
  ibrav = 0, nat = 4, ntyp = 3
/
ATOMIC_SPECIES
Si 28.09 Si.upf
Zn 65.41 Zn.upf
Cl 35.45 Cl.upf
CELL_PARAMETERS angstrom
6.5074 0.0031 0.0000
4.4439 4.7538 0.0000
-5.4757 -2.3785 2.5897
ATOMIC_POSITIONS crystal
Si 0.7500 0.2500 0.5000
Zn 0.2500 0.7500 0.5000
Zn 0.0000 0.0000 0.0000
Cl 0.5000 0.5000 0.0000
```

The following is a PBE calculation of a geometry-optimized Zn2SiCl structure, from Alexandria. Values from VASP.

Values from the calculation:
* E_form (uncorrected): 130 meV per atom
* spin magnetization: 0.00 μB per formula unit
* space-group type: C2/m (12)

```
&SYSTEM
  ibrav = 0, nat = 4, ntyp = 3
/
ATOMIC_SPECIES
Cl 35.45 Cl.upf
Si 28.09 Si.upf
Zn 65.41 Zn.upf
CELL_PARAMETERS angstrom
-3.7326 1.6177 2.2121
-1.2526 -2.8262 -3.4476
-2.5121 -3.6034 1.7285
ATOMIC_POSITIONS crystal
Cl 0.5000 0.0000 0.5000
Si 0.0000 0.5000 0.5000
Zn 0.5000 0.5000 0.0000
Zn 0.0000 0.0000 0.0000
```

The following is a PBE calculation of a geometry-optimized ZnSi4Cl structure, from Alexandria. Values from VASP.

Values from the calculation:
* E_form (uncorrected): 482 meV per atom
* spin magnetization: 0.00 μB per formula unit
* space-group type: F-43m (216)

```
&SYSTEM
  ibrav = 0, nat = 6, ntyp = 3
/
ATOMIC_SPECIES
Si 28.09 Si.upf
Cl 35.45 Cl.upf
Zn 65.41 Zn.upf
CELL_PARAMETERS angstrom
0.0000 3.7011 3.7011
3.7011 0.0000 3.7011
3.7011 3.7011 0.0000
ATOMIC_POSITIONS crystal
Si 0.3745 0.3745 0.8764
Si 0.3745 0.8764 0.3745
Si 0.8764 0.3745 0.3745
Si 0.3745 0.3745 0.3745
Cl 0.0000 0.0000 0.0000
Zn 0.7500 0.7500 0.7500
```

The following is a PBE calculation of a geometry-optimized Zn2SiCl structure, from Alexandria. Values from VASP.

Values from the calculation:
* E_form (uncorrected): -18 meV per atom
* spin magnetization: 0.00 μB per formula unit
* space-group type: Pmmm (47)

```
&SYSTEM
  ibrav = 0, nat = 4, ntyp = 3
/
ATOMIC_SPECIES
Zn 65.41 Zn.upf
Si 28.09 Si.upf
Cl 35.45 Cl.upf
CELL_PARAMETERS angstrom
3.1852 0.0000 0.0000
0.0000 4.4050 0.0000
0.0000 0.0000 5.1389
ATOMIC_POSITIONS crystal
Zn 0.0000 0.0000 0.8751
Zn 0.5000 0.5000 0.3751
Si 0.5000 0.5000 0.8750
Cl 0.0000 0.0000 0.3749
```

The following is a PBE calculation of a geometry-optimized ZnSiCl structure, from Alexandria. Values from VASP.

Values from the calculation:
* E_form (uncorrected): 356 meV per atom
* spin magnetization: 0.00 μB per formula unit
* space-group type: P3m1 (156)

```
&SYSTEM
  ibrav = 0, nat = 3, ntyp = 3
/
ATOMIC_SPECIES
Zn 65.41 Zn.upf
Cl 35.45 Cl.upf
Si 28.09 Si.upf
CELL_PARAMETERS angstrom
4.6893 0.0000 0.0000
-2.3446 4.0610 0.0000
0.0000 0.0000 2.9993
ATOMIC_POSITIONS crystal
Zn 0.6667 0.3333 0.6204
Cl 0.0000 0.0000 0.1217
Si 0.3333 0.6667 0.2579
```

The following is a PBE calculation of a geometry-optimized Zn2SiCl structure, from Alexandria. Values from VASP.

Values from the calculation:
* E_form (uncorrected): 454 meV per atom
* spin magnetization: 0.00 μB per formula unit
* space-group type: F-43m (216)

```
&SYSTEM
  ibrav = 0, nat = 4, ntyp = 3
/
ATOMIC_SPECIES
Si 28.09 Si.upf
Cl 35.45 Cl.upf
Zn 65.41 Zn.upf
CELL_PARAMETERS angstrom
-3.4881 -2.7843 -1.4742
0.2177 -1.9879 -4.2536
0.6976 -4.6312 -0.3968
ATOMIC_POSITIONS crystal
Si 0.7500 0.7500 0.7500
Cl 0.5000 0.5000 0.5000
Zn 0.0000 0.0000 0.0000
Zn 0.2500 0.2500 0.2500
```

The following is a PBE calculation of a geometry-optimized Zn3SiCl structure, from Alexandria. Values from VASP.

Values from the calculation:
* E_form (uncorrected): 7 meV per atom
* spin magnetization: 0.00 μB per formula unit
* space-group type: Pm-3m (221)

```
&SYSTEM
  ibrav = 0, nat = 5, ntyp = 3
/
ATOMIC_SPECIES
Zn 65.41 Zn.upf
Si 28.09 Si.upf
Cl 35.45 Cl.upf
CELL_PARAMETERS angstrom
4.8263 0.0000 0.0000
0.0000 4.8263 0.0000
0.0000 0.0000 4.8263
ATOMIC_POSITIONS crystal
Zn 0.0000 0.5000 0.0000
Zn 0.0000 0.0000 0.5000
Zn 0.5000 0.0000 0.0000
Si 0.0000 0.0000 0.0000
Cl 0.5000 0.5000 0.5000
```

The following is a PBE calculation of a geometry-optimized Zn2SiCl structure, from Alexandria. Values from VASP.

Values from the calculation:
* E_form (uncorrected): 412 meV per atom
* spin magnetization: 0.00 μB per formula unit
* space-group type: I4/mmm (139)

```
&SYSTEM
  ibrav = 0, nat = 4, ntyp = 3
/
ATOMIC_SPECIES
Zn 65.41 Zn.upf
Cl 35.45 Cl.upf
Si 28.09 Si.upf
CELL_PARAMETERS angstrom
-3.6425 -0.6324 3.1577
2.6115 -0.8845 4.0045
0.5507 3.8467 -2.9220
ATOMIC_POSITIONS crystal
Zn 0.0000 0.0000 0.0000
Zn 0.5000 0.5000 0.0000
Cl 0.2500 0.7500 0.5000
Si 0.7500 0.2500 0.5000
```